[1]
Here is a geometry-optimized LiAc2TlPd6 structure from Alexandria via LeMat-Bulk. Energies are from GGA-PBE.

Summary:
Crystal system = monoclinic
Space group = No. 12
Total DFT energy (no corrections) = -4.913 eV per atom

```
10
Lattice="6.1527 -2.8206 0.0000 6.1527 2.8206 0.0000 -6.0969 0.0000 6.3431" Properties=species:S:1:pos:R:3 pbc="T T T"
Li 0.0000 0.0000 0.0000
Ac -1.2504 0.0000 4.5869
Ac 7.4588 0.0000 1.7562
Tl 3.1042 0.0000 3.1715
Pd 1.4586 1.4472 4.7690
Pd 2.5903 0.0000 0.4624
Pd 4.7498 1.4472 1.5740
Pd 1.4586 -1.4472 4.7690
Pd 3.6182 0.0000 5.8806
Pd 4.7498 -1.4472 1.5740
```

=====

[2]
Here is a geometry-optimized LiAcTlPd structure from Alexandria via LeMat-Bulk. Energies are from GGA-PBE.

Summary:
Crystal system = cubic
E above lowest polymorph = 4.0 kJ per mole of atoms
Space group = No. 216

```
4
Lattice="0.0000 3.6225 3.6225 3.6225 0.0000 3.6225 3.6225 3.6225 0.0000" Properties=species:S:1:pos:R:3 pbc="T T T"
Li 0.0000 0.0000 0.0000
Ac 1.8112 1.8112 1.8112
Tl 5.4337 5.4337 5.4337
Pd 3.6225 3.6225 3.6225
```

=====

[3]
Here is a geometry-optimized Li3Ac2TlPd12 structure from Alexandria via LeMat-Bulk. Energies are from GGA-PBE.

Summary:
Crystal system = trigonal
Space group = No. 166
Total DFT energy (no corrections) = -4.666 eV per atom

```
18
Lattice="3.2647 1.8849 9.6353 -3.2647 1.8849 9.6353 0.0000 -3.7697 9.6353" Properties=species:S:1:pos:R:3 pbc="T T T"
Li -1.6323 -0.9424 9.6353
Li -1.6323 0.9424 19.2705
Li 0.0000 1.8849 9.6353
Ac 0.0000 0.0000 3.8138
Ac 0.0000 0.0000 25.0920
Tl 0.0000 0.0000 14.4529
Pd -1.8582 -1.0728 12.7505
Pd 0.0000 -2.2071 8.4105
Pd -1.9114 1.1035 8.4105
Pd -1.9114 -1.1035 20.4953
Pd 0.0000 -2.1457 16.1553
Pd -1.8582 1.0728 16.1553
Pd 1.8582 -1.0728 12.7505
Pd 0.0000 2.1457 12.7505
Pd 1.9114 1.1035 8.4105
Pd 1.9114 -1.1035 20.4953
Pd 0.0000 2.2071 20.4953
Pd 1.8582 1.0728 16.1553
```

=====

[4]
Here is a geometry-optimized Li2Ac3TlPd6 structure from Alexandria via LeMat-Bulk. Energies are from GGA-PBE.

Summary:
Crystal system = trigonal
Space group = No. 164
Total DFT energy (no corrections) = -4.719 eV per atom

```
12
Lattice="5.9867 0.0000 0.0000 -2.9934 5.1847 0.0000 0.0000 0.0000 8.9049" Properties=species:S:1:pos:R:3 pbc="T T T"
Li 0.0000 3.4565 0.1353
Li 2.9934 1.7282 8.7696
Ac 0.0000 0.0000 0.0000
Ac 0.0000 3.4565 5.4737
Ac 2.9934 1.7282 3.4312
Tl 0.0000 0.0000 4.4524
Pd 0.0000 1.8495 2.3434
Pd -1.3916 4.2599 2.3434
Pd 1.6017 0.9248 6.5615
Pd 1.3916 4.2599 2.3434
Pd 4.3850 0.9248 6.5615
Pd 2.9934 3.3352 6.5615
```

=====

[5]
Here is a geometry-optimized Li2AcTmPd5 structure from Alexandria via LeMat-Bulk. Energies are from GGA-PBE.

Summary:
Crystal system = tetragonal
Space group = No. 123
Total DFT energy (no corrections) = -4.892 eV per atom

```
9
Lattice="4.5364 0.0000 0.0000 0.0000 4.5364 0.0000 0.0000 0.0000 7.9581" Properties=species:S:1:pos:R:3 pbc="T T T"
Li 0.0000 0.0000 1.1187
Li 0.0000 0.0000 6.8394
Ac 2.2682 2.2682 3.9791
Tm 2.2682 2.2682 0.0000
Pd 0.0000 0.0000 3.9791
Pd 0.0000 2.2682 1.8844
Pd 0.0000 2.2682 6.0737
Pd 2.2682 0.0000 1.8844
Pd 2.2682 0.0000 6.0737
```

=====

[6]
Here is a geometry-optimized Li2Ac3ZnPd6 structure from Alexandria via LeMat-Bulk. Energies are from GGA-PBE.

Summary:
Crystal system = trigonal
Space group = No. 164
Total DFT energy (no corrections) = -4.703 eV per atom

```
12
Lattice="5.9371 0.0000 0.0000 -2.9685 5.1417 0.0000 0.0000 0.0000 8.7361" Properties=species:S:1:pos:R:3 pbc="T T T"
Li 0.0000 3.4278 0.2887
Li 2.9685 1.7139 8.4474
Ac 0.0000 0.0000 0.0000
Ac 0.0000 3.4278 5.3840
Ac 2.9685 1.7139 3.3522
Zn 0.0000 0.0000 4.3681
Pd 0.0000 1.7831 2.4406
Pd -1.4243 4.2501 2.4406
Pd 1.5442 0.8915 6.2955
Pd 1.4243 4.2501 2.4406
Pd 4.3929 0.8915 6.2955
Pd 2.9685 3.3586 6.2955
```

=====

| no. | ρ (g/cm³) | total magnetization (μB/atom) |
| --- | --- | --- |
| 1 | 9.8 | 0.000 |
| 2 | 9.5 | 0.001 |
| 3 | 9.1 | 0.000 |
| 4 | 9.2 | 0.000 |
| 5 | 9.6 | 0.000 |
| 6 | 8.7 | 0.000 |